[1]
Here is ZnPbBr after structural relaxation from Alexandria via LeMat-Bulk. Energies are from PBE-GGA.

The structure in CIF format:
```
data_ZnPbBr
_space_group_name_H-M_alt 'I 4 m m'
_space_group_IT_number 107
_space_group_name_Hall 'I 4 -2'
_cell_length_a 3.861
_cell_length_b 3.861
_cell_length_c 10.940
_cell_angle_alpha 90.00
_cell_angle_beta 90.00
_cell_angle_gamma 90.00
loop_
_atom_site_label
_atom_site_type_symbol
_atom_site_fract_x
_atom_site_fract_y
_atom_site_fract_z
_atom_site_occupancy
Zn1 Zn 0.000 0.000 0.000 1
Pb1 Pb 0.000 0.000 0.618 1
Br1 Br 0.000 0.000 0.334 1
```

Results
Relative energy among the computed polymorphs, kJ/mol of formula units: 20.9



[2]
Here is LiCr2Pt2 after structural relaxation from Alexandria via LeMat-Bulk. Energies are from PBE-GGA.

The structure in CIF format:
```
data_LiCr2Pt2
_space_group_name_H-M_alt 'P 4/m b m'
_space_group_IT_number 127
_space_group_name_Hall '-P 4 2ab'
_cell_length_a 7.447
_cell_length_b 7.447
_cell_length_c 2.660
_cell_angle_alpha 90.00
_cell_angle_beta 90.00
_cell_angle_gamma 90.00
loop_
_atom_site_label
_atom_site_type_symbol
_atom_site_fract_x
_atom_site_fract_y
_atom_site_fract_z
_atom_site_occupancy
Li1 Li 0.000 0.000 0.000 1
Cr1 Cr 0.106 0.394 0.000 1
Pt1 Pt 0.183 0.683 0.500 1
```

Results
Formation enthalpy at 0 K, eV per atom: -0.131
Relative energy among the computed polymorphs, kJ/mol of formula units: 0.0



[3]
Here is TbLuCoAu after structural relaxation from Alexandria via LeMat-Bulk. Energies are from PBE-GGA.

The structure in CIF format:
```
data_TbLuCoAu
_space_group_name_H-M_alt 'F -4 3 m'
_space_group_IT_number 216
_space_group_name_Hall 'F -4 2 3'
_cell_length_a 6.915
_cell_length_b 6.915
_cell_length_c 6.915
_cell_angle_alpha 90.00
_cell_angle_beta 90.00
_cell_angle_gamma 90.00
loop_
_atom_site_label
_atom_site_type_symbol
_atom_site_fract_x
_atom_site_fract_y
_atom_site_fract_z
_atom_site_occupancy
Tb1 Tb 0.000 0.000 0.000 1
Lu1 Lu 0.000 0.000 0.500 1
Co1 Co 0.250 0.250 0.250 1
Au1 Au 0.250 0.250 0.750 1
```

Results
Formation enthalpy at 0 K, eV per atom: -0.464



[4]
Here is U2Te after structural relaxation from Alexandria via LeMat-Bulk. Energies are from PBE-GGA.

The structure in CIF format:
```
data_U2Te
_space_group_name_H-M_alt 'I 4/m m m'
_space_group_IT_number 139
_space_group_name_Hall '-I 4 2'
_cell_length_a 3.610
_cell_length_b 3.610
_cell_length_c 10.132
_cell_angle_alpha 90.00
_cell_angle_beta 90.00
_cell_angle_gamma 90.00
loop_
_atom_site_label
_atom_site_type_symbol
_atom_site_fract_x
_atom_site_fract_y
_atom_site_fract_z
_atom_site_occupancy
U1 U 0.000 0.000 0.202 1
Te1 Te 0.000 0.000 0.500 1
```



| no. | total energy (eV/atom) |
| --- | --- |
| 1 | -2.35 |
| 2 | -6.78 |
| 3 | -5.35 |
| 4 | -8.79 |